[1]
An optimized crystal structure of Zr6CuC4. Source: the Alexandria database, functional PBE.

Values from the calculation:
Energy of formation from the pure elements   -0.67 eV per atom
Density   6568 kg/m3

a = 3.3742 Å, b = 11.1906 Å, c = 17.6480 Å
α = 90.00°, β = 90.00°, γ = 90.00°
With the nearest neighbours (Å) after each atom.
Space group Cmcm (No. 63)
Asymmetric unit:
Zr (0.0000, 0.0000, 0.0000) [4 per cell]  6 C 2.40
Zr (0.0000, 0.1580, 0.2500) [4 per cell]  2 C 2.36
Zr (0.0000, 0.2749, 0.5780) [8 per cell]  5 C 2.30-2.40
Zr (0.0000, 0.4609, 0.1518) [8 per cell]  3 C 2.26-2.28
Cu (0.0000, 0.1591, 0.7500) [4 per cell]  6 Zr 2.65-2.77
C (0.0000, 0.0899, 0.1235) [8 per cell]  6 Zr 2.28-2.40
C (0.0000, 0.3611, 0.0401) [8 per cell]  6 Zr 2.26-2.40



[2]
An optimized crystal structure of Pr3Sm2Er6. Source: the Alexandria database, functional PBE.

Values from the calculation:
Energy of formation from the pure elements   0.26 eV per atom
Density   7586 kg/m3

a = 4.7740 Å, b = 4.7740 Å, c = 33.1745 Å
α = 90.00°, β = 90.00°, γ = 90.00°
With the nearest neighbours (Å) after each atom.
Space group I4/mmm (No. 139)
Asymmetric unit:
Pr (0.0000, 0.0000, 0.0000) [2 per cell]  8 Sm 3.71
Pr (0.0000, 0.0000, 0.2051) [4 per cell]  9 Er 3.41-3.69
Sm (0.0000, 0.0000, 0.4537) [4 per cell]  1 Sm 3.07, 4 Er 3.42
Er (0.0000, 0.0000, 0.3093) [4 per cell]  4 Er 3.34, 5 Pr 3.41-3.46
Er (0.0000, 0.5000, 0.1203) [8 per cell]  6 Er 3.34-3.38, 2 Sm 3.42, 2 Pr 3.69



[3]
An optimized crystal structure of Re2Ag. Source: the Alexandria database, functional PBE.

Values from the calculation:
Energy of formation from the pure elements   0.81 eV per atom
Density   16260 kg/m3

a = 2.6995 Å, b = 2.6995 Å, c = 26.9216 Å
α = 90.00°, β = 90.00°, γ = 90.00°
With the nearest neighbours (Å) after each atom.
Space group I4_1/amd (No. 141, origin choice 2)
Asymmetric unit:
Re (0.0000, 0.2500, 0.2908) [8 per cell]  6 Re 2.58-2.70
Ag (0.0000, 0.2500, 0.8750) [4 per cell]  4 Ag 2.70, 8 Re 2.96



[4]
An optimized crystal structure of Tb5PrSn4. Source: the Alexandria database, functional PBE.

Values from the calculation:
Energy of formation from the pure elements   -0.42 eV per atom
Density   7348 kg/m3

a = 17.9883 Å, b = 4.4528 Å, c = 8.1552 Å
α = 90.00°, β = 102.62°, γ = 90.00°
With the nearest neighbours (Å) after each atom.
Space group C2/m (No. 12)
Asymmetric unit:
Tb (0.0000, 0.0000, 0.0000) [2 per cell]  4 Sn 3.00
Tb (0.1391, 0.5000, 0.2233) [4 per cell]  4 Sn 3.15-3.36
Tb (0.2048, 0.5000, 0.8019) [4 per cell]  3 Sn 2.99-3.23
Pr (0.0000, 0.0000, 0.5000) [2 per cell]  6 Sn 3.17-3.40
Sn (0.0367, 0.5000, 0.7833) [4 per cell]  4 Tb 2.99-3.15, 2 Pr 3.17
Sn (0.1896, 0.0000, 0.5092) [4 per cell]  2 Sn 3.14, 6 Tb 3.21-3.49, 1 Pr 3.40



[5]
An optimized crystal structure of GaTe2H. Source: the Alexandria database, functional PBE.

Values from the calculation:
E_tot   -3.09 eV/atom
Density   5058 kg/m3

a = 4.2010 Å, b = 4.2010 Å, c = 21.0023 Å
α = 90.00°, β = 90.00°, γ = 120.00°
With the nearest neighbours (Å) after each atom.
Space group R-3m (No. 166, hexagonal axes)
Asymmetric unit:
Ga (0.0000, 0.0000, 0.0000) [3 per cell]  6 Te 2.86
Te (0.0000, 0.0000, 0.4058) [6 per cell]  1 H 1.98
H (0.0000, 0.0000, 0.5000) [3 per cell]  2 Te 1.98



[6]
An optimized crystal structure of Ac2SnBi. Source: the Alexandria database, functional PBE.

Values from the calculation:
Energy of formation from the pure elements   -0.75 eV per atom
Density   8048 kg/m3

a = 8.2600 Å, b = 4.7508 Å, c = 8.6617 Å
α = 90.00°, β = 108.38°, γ = 90.00°
With the nearest neighbours (Å) after each atom.
Space group C2/m (No. 12)
Asymmetric unit:
Ac (0.2500, 0.0000, 0.2501) [4 per cell]  3 Sn 3.43, 3 Bi 3.43
Sn (0.0000, 0.0000, 0.5000) [2 per cell]  6 Ac 3.43
Bi (0.0000, 0.5000, 0.0000) [2 per cell]  6 Ac 3.43



[7]
An optimized crystal structure of KTc2Ge2. Source: the Alexandria database, functional PBE.

Values from the calculation:
Energy of formation from the pure elements   0.30 eV per atom
Density   7134 kg/m3

a = 8.0822 Å, b = 8.0822 Å, c = 2.7109 Å
α = 90.00°, β = 90.00°, γ = 90.00°
With the nearest neighbours (Å) after each atom.
Space group P4/mbm (No. 127)
Asymmetric unit:
K (0.0000, 0.0000, 0.0000) [2 per cell]  2 K 2.71
Tc (0.1351, 0.3649, 0.5000) [4 per cell]  6 Ge 2.68-2.79, 2 Tc 2.71
Ge (0.1511, 0.6511, 0.0000) [4 per cell]  6 Tc 2.68-2.79, 2 Ge 2.71



[8]
An optimized crystal structure of Li3Tm2BiSe6. Source: the Alexandria database, functional PBE.

Values from the calculation:
Formation energy (no corrections)   -1366 meV per atom
Density   6166 kg/m3

a = 7.0481 Å, b = 12.2106 Å, c = 6.9323 Å
α = 90.00°, β = 109.91°, γ = 90.00°
With the nearest neighbours (Å) after each atom.
Space group C2/m (No. 12)
Asymmetric unit:
Li (0.0000, 0.0000, 0.0000) [2 per cell]  6 Se 2.79-2.87
Li (0.0000, 0.3399, 0.0000) [4 per cell]  6 Se 2.81-2.88
Tm (0.0000, 0.1675, 0.5000) [4 per cell]  6 Se 2.84-2.85
Bi (0.0000, 0.5000, 0.5000) [2 per cell]  6 Se 2.93
Se (0.2417, 0.0000, 0.7544) [4 per cell]  3 Li 2.79-2.81, 2 Tm 2.85, 1 Bi 2.93
Se (0.2432, 0.1715, 0.2459) [8 per cell]  2 Tm 2.84-2.85, 3 Li 2.84-2.88, 1 Bi 2.93